HfAg3Bi: optimized geometry, PBE.

Computed properties:
Calculated total energy   -3.426 eV per atom
Total magnetic moment   0.00 μB per formula unit
Crystal system   cubic
Energy above the most stable polymorph in this dataset   0 meV/atom
N(E_F)   0.963 states/eV per atom

a b c (Å): 5.218 5.218 5.218
angles (deg): 90.00 90.00 90.00
Space group Pm-3m (No. 221)
Symmetry-distinct sites (fractional):
Hf 0.000 0.000 0.000 x1
Ag 0.000 0.000 0.500 x3
Bi 0.500 0.500 0.500 x1